[1]
# LiTe2PdI, optimized geometry, DFT PBE
data_LiTe2PdI
_symmetry_space_group_name_H-M 'P 4/m m m'
_symmetry_Int_Tables_number 123
_symmetry_space_group_name_Hall '-P 4 2'
_cell_length_a 5.042
_cell_length_b 5.042
_cell_length_c 5.335
_cell_angle_alpha 90.00
_cell_angle_beta 90.00
_cell_angle_gamma 90.00
loop_
_atom_site_label
_atom_site_type_symbol
_atom_site_fract_x
_atom_site_fract_y
_atom_site_fract_z
Li1 Li 0.000 0.000 0.000
Te1 Te 0.000 0.500 0.000
Pd1 Pd 0.500 0.500 0.500
I1 I 0.000 0.000 0.500
# energy relative to the lowest polymorph listed for this composition	0.462	eV/atom
# crystal system	tetragonal
# DOS at the Fermi energy	1.218	states/eV per atom
# spin magnetization	0.00	μB per atom
# raw total energy	-12.906	eV/cell
# E_form (uncorrected)	0.407	eV/atom



[2]
# LiTe2PdI, optimized geometry, DFT PBE
data_LiTe2PdI
_symmetry_space_group_name_H-M 'P 4/m m m'
_symmetry_Int_Tables_number 123
_symmetry_space_group_name_Hall '-P 4 2'
_cell_length_a 5.319
_cell_length_b 5.319
_cell_length_c 5.711
_cell_angle_alpha 90.00
_cell_angle_beta 90.00
_cell_angle_gamma 90.00
loop_
_atom_site_label
_atom_site_type_symbol
_atom_site_fract_x
_atom_site_fract_y
_atom_site_fract_z
Li1 Li 0.000 0.000 0.000
Te1 Te 0.000 0.500 0.500
Pd1 Pd 0.500 0.500 0.500
I1 I 0.500 0.500 0.000
# energy relative to the lowest polymorph listed for this composition	0.000	eV/atom
# crystal system	tetragonal
# DOS at the Fermi energy	1.255	states/eV per atom
# spin magnetization	0.00	μB per atom
# raw total energy	-15.215	eV/cell
# E_form (uncorrected)	-0.055	eV/atom



[3]
# LiTePdI2, optimized geometry, DFT PBE
data_LiTePdI2
_symmetry_space_group_name_H-M 'P 4/m m m'
_symmetry_Int_Tables_number 123
_symmetry_space_group_name_Hall '-P 4 2'
_cell_length_a 5.640
_cell_length_b 5.640
_cell_length_c 5.284
_cell_angle_alpha 90.00
_cell_angle_beta 90.00
_cell_angle_gamma 90.00
loop_
_atom_site_label
_atom_site_type_symbol
_atom_site_fract_x
_atom_site_fract_y
_atom_site_fract_z
Li1 Li 0.000 0.000 0.000
Te1 Te 0.500 0.500 0.000
Pd1 Pd 0.500 0.500 0.500
I1 I 0.000 0.500 0.500
# energy relative to the lowest polymorph listed for this composition	0.000	eV/atom
# crystal system	tetragonal
# DOS at the Fermi energy	1.064	states/eV per atom
# spin magnetization	0.10	μB per atom
# raw total energy	-14.188	eV/cell
# E_form (uncorrected)	-0.168	eV/atom



[4]
# LiTePd2I, optimized geometry, DFT PBE
data_LiTePd2I
_symmetry_space_group_name_H-M 'P 4/m m m'
_symmetry_Int_Tables_number 123
_symmetry_space_group_name_Hall '-P 4 2'
_cell_length_a 5.101
_cell_length_b 5.101
_cell_length_c 5.181
_cell_angle_alpha 90.00
_cell_angle_beta 90.00
_cell_angle_gamma 90.00
loop_
_atom_site_label
_atom_site_type_symbol
_atom_site_fract_x
_atom_site_fract_y
_atom_site_fract_z
Li1 Li 0.000 0.000 0.000
Te1 Te 0.000 0.000 0.500
Pd1 Pd 0.000 0.500 0.500
I1 I 0.500 0.500 0.000
# crystal system	tetragonal
# DOS at the Fermi energy	0.878	states/eV per atom
# spin magnetization	0.00	μB per atom
# raw total energy	-17.165	eV/cell
# E_form (uncorrected)	-0.035	eV/atom



[5]
# Li3PmI6, optimized geometry, DFT PBE
data_Li3PmI6
_symmetry_space_group_name_H-M 'P -1'
_symmetry_Int_Tables_number 2
_symmetry_space_group_name_Hall '-P 1'
_cell_length_a 8.567
_cell_length_b 8.601
_cell_length_c 8.603
_cell_angle_alpha 60.96
_cell_angle_beta 60.75
_cell_angle_gamma 60.75
loop_
_atom_site_label
_atom_site_type_symbol
_atom_site_fract_x
_atom_site_fract_y
_atom_site_fract_z
Li1 Li 0.000 0.000 0.000
Li2 Li 0.000 0.500 0.500
Li3 Li 0.500 0.000 0.500
Pm1 Pm 0.000 0.500 0.000
I1 I 0.230 0.776 0.767
I2 I 0.234 0.271 0.272
I3 I 0.254 0.246 0.746
# energy relative to the lowest polymorph listed for this composition	0.000	eV/atom
# crystal system	triclinic
# DOS at the Fermi energy	0.000	states/eV per atom
# spin magnetization	0.00	μB per atom
# raw total energy	-31.847	eV/cell
# E_form (uncorrected)	-1.205	eV/atom



[6]
# Li5Pm3I12, optimized geometry, DFT PBE
data_Li5Pm3I12
_symmetry_space_group_name_H-M 'I a -3 d'
_symmetry_Int_Tables_number 230
_symmetry_space_group_name_Hall '-I 4bd 2c 3'
_cell_length_a 17.680
_cell_length_b 17.680
_cell_length_c 17.680
_cell_angle_alpha 90.00
_cell_angle_beta 90.00
_cell_angle_gamma 90.00
loop_
_atom_site_label
_atom_site_type_symbol
_atom_site_fract_x
_atom_site_fract_y
_atom_site_fract_z
Li1 Li 0.000 0.000 0.000
Li2 Li 0.000 0.250 0.375
Pm1 Pm 0.000 0.250 0.125
I1 I 0.027 0.064 0.653
# crystal system	cubic
# DOS at the Fermi energy	0.474	states/eV per atom
# spin magnetization	0.10	μB per atom
# raw total energy	-523.693	eV/cell
# E_form (uncorrected)	-1.152	eV/atom



[7]
# LiPm2I6, optimized geometry, DFT PBE
data_LiPm2I6
_symmetry_space_group_name_H-M 'C 1 2/m 1'
_symmetry_Int_Tables_number 12
_symmetry_space_group_name_Hall '-C 2y'
_cell_length_a 20.470
_cell_length_b 4.229
_cell_length_c 9.527
_cell_angle_alpha 90.00
_cell_angle_beta 107.67
_cell_angle_gamma 90.00
loop_
_atom_site_label
_atom_site_type_symbol
_atom_site_fract_x
_atom_site_fract_y
_atom_site_fract_z
Li1 Li 0.000 0.000 0.000
Pm1 Pm 0.161 0.500 0.318
I1 I 0.006 0.500 0.225
I2 I 0.164 0.000 0.079
I3 I 0.173 0.000 0.576
# energy relative to the lowest polymorph listed for this composition	0.000	eV/atom
# crystal system	monoclinic
# DOS at the Fermi energy	0.356	states/eV per atom
# spin magnetization	0.00	μB per atom
# raw total energy	-64.841	eV/cell
# E_form (uncorrected)	-1.301	eV/atom



[8]
# Li2PmI6, optimized geometry, DFT PBE
data_Li2PmI6
_symmetry_space_group_name_H-M 'C 1 2/c 1'
_symmetry_Int_Tables_number 15
_symmetry_space_group_name_Hall '-C 2yc'
_cell_length_a 13.706
_cell_length_b 14.884
_cell_length_c 7.879
_cell_angle_alpha 90.00
_cell_angle_beta 110.02
_cell_angle_gamma 90.00
loop_
_atom_site_label
_atom_site_type_symbol
_atom_site_fract_x
_atom_site_fract_y
_atom_site_fract_z
Li1 Li 0.132 0.093 0.223
Pm1 Pm 0.000 0.409 0.250
I1 I 0.091 0.080 0.549
I2 I 0.132 0.430 0.661
I3 I 0.156 0.280 0.192
# energy relative to the lowest polymorph listed for this composition	0.004	eV/atom
# crystal system	monoclinic
# DOS at the Fermi energy	0.029	states/eV per atom
# spin magnetization	0.12	μB per atom
# raw total energy	-110.025	eV/cell
# E_form (uncorrected)	-1.070	eV/atom



[9]
# LiPm2I6, optimized geometry, DFT PBE
data_LiPm2I6
_symmetry_space_group_name_H-M 'P 42/m n m'
_symmetry_Int_Tables_number 136
_symmetry_space_group_name_Hall '-P 4n 2n'
_cell_length_a 7.467
_cell_length_b 7.467
_cell_length_c 13.193
_cell_angle_alpha 90.00
_cell_angle_beta 90.00
_cell_angle_gamma 90.00
loop_
_atom_site_label
_atom_site_type_symbol
_atom_site_fract_x
_atom_site_fract_y
_atom_site_fract_z
Li1 Li 0.000 0.000 0.000
Pm1 Pm 0.000 0.000 0.348
I1 I 0.199 0.199 0.165
I2 I 0.222 0.222 0.500
# energy relative to the lowest polymorph listed for this composition	0.036	eV/atom
# crystal system	tetragonal
# DOS at the Fermi energy	0.070	states/eV per atom
# spin magnetization	0.11	μB per atom
# raw total energy	-64.185	eV/cell
# E_form (uncorrected)	-1.264	eV/atom



[10]
# Li3PmI6, optimized geometry, DFT PBE
data_Li3PmI6
_symmetry_space_group_name_H-M 'C m m m'
_symmetry_Int_Tables_number 65
_symmetry_space_group_name_Hall '-C 2 2'
_cell_length_a 10.097
_cell_length_b 15.092
_cell_length_c 4.834
_cell_angle_alpha 90.00
_cell_angle_beta 90.00
_cell_angle_gamma 90.00
loop_
_atom_site_label
_atom_site_type_symbol
_atom_site_fract_x
_atom_site_fract_y
_atom_site_fract_z
Li1 Li 0.000 0.000 0.000
Li2 Li 0.250 0.250 0.500
Pm1 Pm 0.000 0.500 0.000
I1 I 0.000 0.361 0.500
I2 I 0.206 0.125 0.000
# energy relative to the lowest polymorph listed for this composition	0.079	eV/atom
# crystal system	orthorhombic
# spin magnetization	0.00	μB per atom
# raw total energy	-62.106	eV/cell
# E_form (uncorrected)	-1.126	eV/atom



[11]
# LiPmI5, optimized geometry, DFT PBE
data_LiPmI5
_symmetry_space_group_name_H-M 'C 1 2/c 1'
_symmetry_Int_Tables_number 15
_symmetry_space_group_name_Hall '-C 2yc'
_cell_length_a 13.567
_cell_length_b 10.065
_cell_length_c 10.148
_cell_angle_alpha 90.00
_cell_angle_beta 119.40
_cell_angle_gamma 90.00
loop_
_atom_site_label
_atom_site_type_symbol
_atom_site_fract_x
_atom_site_fract_y
_atom_site_fract_z
Li1 Li 0.000 0.000 0.000
Pm1 Pm 0.000 0.430 0.250
I1 I 0.000 0.107 0.250
I2 I 0.012 0.319 0.560
I3 I 0.245 0.019 0.603
# crystal system	monoclinic
# DOS at the Fermi energy	0.817	states/eV per atom
# spin magnetization	0.00	μB per atom
# raw total energy	-85.668	eV/cell
# E_form (uncorrected)	-1.000	eV/atom



[12]
# LiPm2I8, optimized geometry, DFT PBE
data_LiPm2I8
_symmetry_space_group_name_H-M 'C 1 2/m 1'
_symmetry_Int_Tables_number 12
_symmetry_space_group_name_Hall '-C 2y'
_cell_length_a 25.920
_cell_length_b 6.803
_cell_length_c 6.180
_cell_angle_alpha 90.00
_cell_angle_beta 102.91
_cell_angle_gamma 90.00
loop_
_atom_site_label
_atom_site_type_symbol
_atom_site_fract_x
_atom_site_fract_y
_atom_site_fract_z
Li1 Li 0.000 0.000 0.000
Pm1 Pm 0.167 0.000 0.924
I1 I 0.065 0.253 0.822
I2 I 0.174 0.000 0.430
I3 I 0.208 0.500 0.961
# crystal system	monoclinic
# DOS at the Fermi energy	0.298	states/eV per atom
# spin magnetization	0.00	μB per atom
# raw total energy	-72.379	eV/cell
# E_form (uncorrected)	-1.125	eV/atom